Entry 1:
Computed, not measured: crystalline TiCo3Si at its relaxed geometry at the GGA-PBE level of DFT.

Energy relative to the elements, uncorrected: 29.2 kJ per mole of atoms
Distance to the lowest polymorph of the same formula: 0 meV per atom
Magnetization: 1.786 μB per formula unit
Mass density: 6.0 g cm⁻³

Unit cell a=4.1259 b=4.1259 c=4.1259 alpha=90.00 beta=90.00 gamma=90.00
Sites, in units of the cell vectors:
Ti  0.5000  0.5000  0.5000
Si  0.0000  0.0000  0.0000
Co  0.0000  0.0000  0.5000
Co  0.5000  0.0000  0.0000
Co  0.0000  0.5000  0.0000

=====

Entry 2:
Computed, not measured: crystalline TlZn2Cd8 at its relaxed geometry at the GGA-PBE level of DFT.

Energy of formation from the pure elements: 1.16 eV/f.u.
Magnetization: 0.000 μB per formula unit
Mass density: 7.9 g cm⁻³

Unit cell a=5.8234 b=7.5888 c=7.5888 alpha=111.40 beta=108.28 gamma=108.28
Sites, in units of the cell vectors:
Cd  0.3132  0.5814  0.5814
Cd  0.8948  0.9167  0.6801
Cd  0.5000  0.7621  0.2379
Cd  0.1052  0.0833  0.3199
Cd  0.5000  0.2379  0.7621
Cd  0.8948  0.6801  0.9167
Cd  0.6868  0.4186  0.4186
Cd  0.1052  0.3199  0.0833
Tl  0.5000  0.0000  0.0000
Zn  0.0000  0.6898  0.3102
Zn  0.0000  0.3102  0.6898

=====

Entry 3:
Computed, not measured: crystalline BaPdAuO4 at its relaxed geometry at the GGA-PBE level of DFT.

Energy relative to the elements, uncorrected: -85.0 kJ per mole of atoms
Magnetization: 0.000 μB per formula unit
Mass density: 7.4 g cm⁻³

Unit cell a=6.5071 b=7.1906 c=6.2448 alpha=115.74 beta=90.00 gamma=116.90
Sites, in units of the cell vectors:
Pd  0.5000  0.0000  0.0000
Pd  0.5000  0.0000  0.5000
Ba  0.1468  0.2937  0.8968
Ba  0.8532  0.7063  0.1032
O  0.3137  0.6274  0.3562
O  0.6921  0.9824  0.2412
O  0.3079  0.0176  0.7588
O  0.3137  0.6274  0.7713
O  0.6863  0.3726  0.6438
O  0.6863  0.3726  0.2287
O  0.2902  0.9824  0.2412
O  0.7098  0.0176  0.7588
Au  0.5000  0.5000  0.5000
Au  0.0000  0.5000  0.5000

=====

Entry 4:
Computed, not measured: crystalline CuTc2 at its relaxed geometry at the GGA-PBE level of DFT.

Energy of formation from the pure elements: 1.23 eV/f.u.
Distance to the lowest polymorph of the same formula: 322 meV per atom
Magnetization: 0.000 μB per formula unit
Mass density: 10.1 g cm⁻³

Unit cell a=12.2666 b=12.2666 c=12.2666 alpha=167.57 beta=167.57 gamma=17.61
Sites, in units of the cell vectors:
Tc  0.5803  0.5803  0.0000
Tc  0.3303  0.8303  0.5000
Tc  0.4197  0.4197  0.0000
Tc  0.1697  0.6697  0.5000
Cu  0.0000  0.0000  0.0000
Cu  0.7500  0.2500  0.5000

=====

Entry 5:
Computed, not measured: crystalline Sc2SiO5 at its relaxed geometry at the GGA-PBE level of DFT.

Energy relative to the elements, uncorrected: -311.7 kJ per mole of atoms
Distance to the lowest polymorph of the same formula: 0 meV per atom
Magnetization: 0.000 μB per formula unit
Mass density: 3.2 g cm⁻³

Unit cell a=5.6311 b=5.6311 c=7.5534 alpha=68.11 beta=68.11 gamma=90.00
Sites, in units of the cell vectors:
O  0.8061  0.8082  0.3877
O  0.3041  0.8062  0.8876
O  0.1939  0.1918  0.6123
O  0.3750  0.6250  0.2500
O  0.8062  0.3041  0.3876
O  0.1918  0.1939  0.1123
O  0.8082  0.8061  0.8877
O  0.6959  0.1938  0.1124
O  0.1938  0.6959  0.6124
O  0.6250  0.3750  0.7500
Sc  0.5000  0.5000  0.5000
Sc  0.5000  0.0000  0.0000
Sc  0.0000  0.5000  0.5000
Sc  0.5000  0.5000  0.0000
Si  0.1250  0.8750  0.7500
Si  0.8750  0.1250  0.2500

=====

Entry 6:
Computed, not measured: crystalline Ta2CrH2 at its relaxed geometry at the GGA-PBE level of DFT.

Distance to the lowest polymorph of the same formula: 0 meV per atom
Magnetization: 0.000 μB per formula unit
Mass density: 12.9 g cm⁻³

Unit cell a=3.0842 b=3.0842 c=6.0492 alpha=75.23 beta=75.23 gamma=90.00
Sites, in units of the cell vectors:
Cr  0.0000  0.0000  0.0000
H  0.7500  0.2500  0.5000
H  0.2500  0.7500  0.5000
Ta  0.6360  0.6360  0.7280
Ta  0.3640  0.3640  0.2720

=====

Entry 7:
Computed, not measured: crystalline TmSc2Cl at its relaxed geometry at the GGA-PBE level of DFT.

Energy relative to the elements, uncorrected: -57.0 kJ per mole of atoms
Magnetization: 0.509 μB per formula unit
Mass density: 5.2 g cm⁻³

Unit cell a=3.4154 b=3.4154 c=9.4938 alpha=79.64 beta=79.64 gamma=60.00
Sites, in units of the cell vectors:
Sc  0.2612  0.2612  0.2164
Sc  0.7388  0.7388  0.7836
Cl  0.0000  0.0000  0.0000
Tm  0.5000  0.5000  0.5000

=====

Entry 8:
Computed, not measured: crystalline Dy7Tm4Mg at its relaxed geometry at the GGA-PBE level of DFT.

Energy of formation from the pure elements: 1.42 eV/f.u.
Distance to the lowest polymorph of the same formula: 27 meV per atom
Magnetization: 0.000 μB per formula unit
Mass density: 8.1 g cm⁻³

Unit cell a=6.3045 b=8.3828 c=11.8061 alpha=65.95 beta=70.32 gamma=41.22
Sites, in units of the cell vectors:
Tm  0.7228  0.3822  0.2346
Tm  0.1807  0.2912  0.4170
Tm  0.2772  0.6178  0.7654
Tm  0.8193  0.7088  0.5830
Dy  0.2536  0.4533  0.0924
Dy  0.1402  0.1360  0.7290
Dy  0.3525  0.7902  0.4194
Dy  0.6475  0.2098  0.5806
Dy  0.7464  0.5467  0.9076
Dy  0.5000  0.0000  0.0000
Dy  0.8598  0.8640  0.2710
Mg  0.0000  0.0000  0.0000

=====

Entry 9:
Computed, not measured: crystalline MgBF3 at its relaxed geometry at the GGA-PBE level of DFT.

Energy relative to the elements, uncorrected: -101.3 kJ per mole of atoms
Distance to the lowest polymorph of the same formula: 609 meV per atom
Magnetization: 0.000 μB per formula unit
Mass density: 2.6 g cm⁻³

Unit cell a=3.8964 b=3.8964 c=3.8964 alpha=90.00 beta=90.00 gamma=90.00
Sites, in units of the cell vectors:
F  0.0000  0.5000  0.0000
F  0.0000  0.0000  0.5000
F  0.5000  0.0000  0.0000
B  0.0000  0.0000  0.0000
Mg  0.5000  0.5000  0.5000

=====

Entry 10:
Computed, not measured: crystalline AcLa2Nd4Dy at its relaxed geometry at the GGA-PBE level of DFT.

Energy of formation from the pure elements: 0.19 eV/f.u.
Magnetization: 0.000 μB per formula unit
Mass density: 7.1 g cm⁻³

Unit cell a=5.2725 b=5.2473 c=11.7635 alpha=63.47 beta=90.00 gamma=90.00
Sites, in units of the cell vectors:
Ac  0.5000  0.5000  0.0000
Nd  0.0000  0.2426  0.2572
Nd  0.5000  0.2568  0.7432
Nd  0.5000  0.7432  0.2568
Nd  0.0000  0.7574  0.7428
Dy  0.0000  0.5000  0.5000
La  0.0000  0.0000  0.0000
La  0.5000  0.0000  0.5000

=====

Entry 11:
Computed, not measured: crystalline K2LiCe2S6 at its relaxed geometry at the GGA-PBE level of DFT.

Energy relative to the elements, uncorrected: -136.6 kJ per mole of atoms
Magnetization: 0.240 μB per formula unit
Mass density: 2.9 g cm⁻³

Unit cell a=7.1539 b=7.1539 c=7.7715 alpha=97.67 beta=97.67 gamma=122.61
Sites, in units of the cell vectors:
Ce  0.6619  0.3381  0.5000
Ce  0.3381  0.6619  0.5000
S  0.5824  0.9455  0.3019
S  0.7354  0.7354  0.6839
S  0.4176  0.0545  0.6981
S  0.0545  0.4176  0.6981
S  0.2646  0.2646  0.3161
S  0.9455  0.5824  0.3019
K  0.8441  0.1559  0.0000
K  0.1559  0.8441  0.0000
Li  0.0000  0.0000  0.5000

=====

Entry 12:
Computed, not measured: crystalline AcGaRu2C at its relaxed geometry at the GGA-PBE level of DFT.

Energy of formation from the pure elements: -1.36 eV/f.u.
Magnetization: 0.000 μB per formula unit
Mass density: 9.5 g cm⁻³

Unit cell a=4.2645 b=6.0496 c=7.3912 alpha=90.00 beta=90.00 gamma=110.64
Sites, in units of the cell vectors:
Ru  0.1619  0.3239  0.9407
Ru  0.8381  0.6761  0.0593
Ru  0.8381  0.6761  0.4407
Ru  0.1619  0.3239  0.5593
C  0.0000  0.0000  0.0000
C  0.0000  0.0000  0.5000
Ac  0.4456  0.8912  0.7500
Ac  0.5544  0.1088  0.2500
Ga  0.2755  0.5511  0.2500
Ga  0.7245  0.4489  0.7500

=====

Entry 13:
Computed, not measured: crystalline PrTiGa2 at its relaxed geometry at the GGA-PBE level of DFT.

Energy of formation from the pure elements: -0.68 eV/f.u.
Distance to the lowest polymorph of the same formula: 235 meV per atom
Magnetization: 0.000 μB per formula unit
Mass density: 6.1 g cm⁻³

Unit cell a=3.5677 b=3.5677 c=8.3909 alpha=77.73 beta=77.73 gamma=60.00
Sites, in units of the cell vectors:
Ti  0.0000  0.0000  0.0000
Ga  0.2624  0.2624  0.2127
Ga  0.7376  0.7376  0.7873
Pr  0.5000  0.5000  0.5000

=====

Entry 14:
Computed, not measured: crystalline NaIr2PbAu at its relaxed geometry at the GGA-PBE level of DFT.

Energy of formation from the pure elements: 9.19 eV/f.u.
Magnetization: 0.000 μB per formula unit
Mass density: 12.4 g cm⁻³

Unit cell a=4.6838 b=4.9436 c=4.6838 alpha=90.00 beta=90.00 gamma=90.00
Sites, in units of the cell vectors:
Pb  0.0000  0.5000  0.0000
Na  0.0000  0.0000  0.0000
Ir  0.5000  0.0000  0.0000
Ir  0.0000  0.0000  0.5000
Au  0.5000  0.5000  0.5000

=====

Entry 15:
Computed, not measured: crystalline LaCeTmHg at its relaxed geometry at the GGA-PBE level of DFT.

Energy of formation from the pure elements: -0.01 eV/f.u.
Magnetization: 2.983 μB per formula unit
Mass density: 9.5 g cm⁻³

Unit cell a=5.4243 b=5.4243 c=5.4243 alpha=60.00 beta=60.00 gamma=60.00
Sites, in units of the cell vectors:
Hg  0.5000  0.5000  0.5000
La  0.2500  0.2500  0.2500
Tm  0.7500  0.7500  0.7500
Ce  0.0000  0.0000  0.0000

=====

Entry 16:
Computed, not measured: crystalline Hf3Cu3Ni2 at its relaxed geometry at the GGA-PBE level of DFT.

Energy of formation from the pure elements: -2.37 eV/f.u.
Magnetization: 0.000 μB per formula unit
Mass density: 11.2 g cm⁻³

Unit cell a=3.3040 b=6.6209 c=6.6209 alpha=120.00 beta=90.00 gamma=90.00
Sites, in units of the cell vectors:
Hf  0.5000  0.5970  0.0000
Hf  0.5000  0.4030  0.4030
Hf  0.5000  0.0000  0.5970
Cu  0.0000  0.7691  0.7691
Cu  0.0000  0.0000  0.2309
Cu  0.0000  0.2309  0.0000
Ni  0.0000  0.6667  0.3333
Ni  0.0000  0.3333  0.6667

=====

Entry 17:
Computed, not measured: crystalline Ce2Co2Ge2H at its relaxed geometry at the GGA-PBE level of DFT.

Energy: -42.01 eV for the cell shown
Magnetization: 3.492 μB per formula unit
Mass density: 7.8 g cm⁻³

Unit cell a=4.0033 b=4.0033 c=7.7500 alpha=104.97 beta=104.97 gamma=90.00
Sites, in units of the cell vectors:
Co  0.0000  0.5000  0.0000
Co  0.5000  0.0000  0.0000
H  0.0000  0.0000  0.0000
Ce  0.1646  0.1646  0.3292
Ce  0.8354  0.8354  0.6708
Ge  0.3992  0.3992  0.7984
Ge  0.6008  0.6008  0.2016

=====

Entry 18:
Computed, not measured: crystalline U3As4Ru4 at its relaxed geometry at the GGA-PBE level of DFT.

Energy of formation from the pure elements: -4.78 eV/f.u.
Magnetization: 3.715 μB per formula unit
Mass density: 11.7 g cm⁻³

Unit cell a=4.1039 b=6.1614 c=8.4573 alpha=90.00 beta=90.00 gamma=109.45
Sites, in units of the cell vectors:
Ru  0.5936  0.1872  0.0000
Ru  0.0876  0.1751  0.7503
Ru  0.0876  0.1751  0.2497
Ru  0.5843  0.1685  0.5000
U  0.4037  0.8074  0.2561
U  0.4037  0.8074  0.7439
U  0.2746  0.5492  0.0000
As  0.7141  0.4282  0.7454
As  0.9670  0.9339  0.0000
As  0.7141  0.4282  0.2546
As  0.9684  0.9367  0.5000

=====

Entry 19:
Computed, not measured: crystalline La4GaNiCl2 at its relaxed geometry at the GGA-PBE level of DFT.

Energy relative to the elements, uncorrected: -95.9 kJ per mole of atoms
Magnetization: 0.000 μB per formula unit
Mass density: 5.6 g cm⁻³

Unit cell a=4.1119 b=7.6421 c=7.4985 alpha=108.30 beta=90.00 gamma=90.00
Sites, in units of the cell vectors:
Cl  0.0000  0.5000  0.5000
Cl  0.5000  0.0000  0.5000
La  0.5000  0.2243  0.2179
La  0.5000  0.7757  0.7821
La  0.0000  0.2432  0.7502
La  0.0000  0.7568  0.2498
Ni  0.0000  0.0000  0.0000
Ga  0.5000  0.5000  0.0000

=====

Entry 20:
Computed, not measured: crystalline Pr2ErHg at its relaxed geometry at the GGA-PBE level of DFT.

Energy of formation from the pure elements: -0.82 eV/f.u.
Distance to the lowest polymorph of the same formula: 23 meV per atom
Magnetization: 0.000 μB per formula unit
Mass density: 8.6 g cm⁻³

Unit cell a=3.7434 b=3.7434 c=8.9465 alpha=90.00 beta=90.00 gamma=90.00
Sites, in units of the cell vectors:
Pr  0.0000  0.0000  0.7730
Pr  0.0000  0.0000  0.2270
Hg  0.5000  0.5000  0.0000
Er  0.5000  0.5000  0.5000